Here is a relaxed Nd3GaAg crystal from Alexandria. Energies are from PBE-GGA.

Cell lengths 9.093, 9.093, 10.331 Å; angles 121.57, 121.57, 54.04 degrees
Sites, in units of the cell vectors:
Nd: 0.033 0.576 0.886
Nd: 0.094 0.783 0.501
Nd: 0.217 0.906 0.999
Nd: 0.286 0.438 0.643
Nd: 0.424 0.967 0.614
Nd: 0.438 0.286 0.143
Nd: 0.562 0.714 0.857
Nd: 0.576 0.033 0.386
Nd: 0.714 0.562 0.357
Nd: 0.783 0.094 0.001
Nd: 0.906 0.217 0.499
Nd: 0.967 0.424 0.114
Ga: 0.129 0.179 0.322
Ga: 0.179 0.129 0.822
Ga: 0.821 0.871 0.178
Ga: 0.871 0.821 0.678
Ag: 0.207 0.793 0.250
Ag: 0.500 0.500 0.000
Ag: 0.500 0.500 0.500
Ag: 0.793 0.207 0.750

Results
Offset from the most stable computed form in eV per atom: 0.078
Total magnetic moment in μB per cell: 0.00